# Mn4CdPbO8 (PBE+U, relaxed)
data_Mn4CdPbO8
_chemical_formula_sum 'Mn12 Cd3 Pb3 O24'
_cell_length_a 6.3212
_cell_length_b 6.3212
_cell_length_c 15.9903
_cell_angle_alpha 90.00
_cell_angle_beta 90.00
_cell_angle_gamma 120.00
_space_group_name_H-M_alt 'R 3 m'
_space_group_IT_number 160
_space_group_name_Hall 'R 3 -2"'
loop_
_atom_site_label
_atom_site_type_symbol
_atom_site_fract_x
_atom_site_fract_y
_atom_site_fract_z
_atom_site_occupancy
Mn1 Mn 0.0000 0.0000 0.0000 1
Mn2 Mn 0.0025 0.5012 0.8691 1
Cd1 Cd 0.0000 0.0000 0.7342 1
Pb1 Pb 0.0000 0.0000 0.3699 1
O1 O 0.0000 0.0000 0.1386 1
O2 O 0.0000 0.0000 0.5935 1
O3 O 0.0283 0.5141 0.1257 1
O4 O 0.1760 0.3521 0.9496 1
# - energy (eV/atom) = -6.666